(1)
Entry from Alexandria via LeMat-Bulk: a crystal of Ba2SrMn relaxed with PBEsol (SCAN).

Lattice parameters (Å, degrees): 6.1668 6.1668 6.1668 60.00 60.00 60.00
Atoms (fractional coordinates):
Ba  0.7500  0.7500  0.7500
Ba  0.2500  0.2500  0.2500
Sr  0.5000  0.5000  0.5000
Mn  0.0000  0.0000  0.0000

Results
Fermi-level density of states ... 1.48 states/eV per atom
Energy relative to the lowest polymorph listed for this composition ... 0 meV per atom
Formation enthalpy at 0 K ... 288 meV/atom
VASP energy ... -118.5 eV for the cell shown



(2)
Entry from Alexandria via LeMat-Bulk: a crystal of ScTa2Rh relaxed with PBEsol (SCAN).

Lattice parameters (Å, degrees): 3.1613 3.1615 6.9005 90.00 90.00 90.00
Atoms (fractional coordinates):
Ta  0.5000  0.5000  0.2669
Rh  0.0000  0.0000  0.4853
Sc  0.5000  0.5000  0.7370
Ta  0.0000  0.0000  0.0109

Results
Fermi-level density of states ... 1.02 states/eV per atom
Energy relative to the lowest polymorph listed for this composition ... 14 meV per atom
Formation enthalpy at 0 K ... -299 meV/atom
VASP energy ... -182.4 eV for the cell shown



(3)
Entry from Alexandria via LeMat-Bulk: a crystal of InIr3Se relaxed with PBEsol (SCAN).

Lattice parameters (Å, degrees): 4.5603 4.5603 4.5603 90.00 90.00 90.00
Atoms (fractional coordinates):
Ir  0.0000  0.5000  0.0000
Ir  0.0000  0.0000  0.5000
Ir  0.5000  0.0000  0.0000
Se  0.0000  0.0000  0.0000
In  0.5000  0.5000  0.5000

Results
Fermi-level density of states ... 1.18 states/eV per atom
VASP energy ... -260.7 eV for the cell shown



(4)
Entry from Alexandria via LeMat-Bulk: a crystal of Sc2TlTc relaxed with PBEsol (SCAN).

Lattice parameters (Å, degrees): 3.3466 3.3466 6.8740 90.00 90.00 90.00
Atoms (fractional coordinates):
Tl  0.5000  0.5000  0.5000
Sc  0.0000  0.0000  0.7878
Tc  0.5000  0.5000  0.0000
Sc  0.0000  0.0000  0.2122

Results
Fermi-level density of states ... 0.71 states/eV per atom
Energy relative to the lowest polymorph listed for this composition ... 0 meV per atom
Formation enthalpy at 0 K ... -435 meV/atom
VASP energy ... -137.6 eV for the cell shown



(5)
Entry from Alexandria via LeMat-Bulk: a crystal of Ca3P2O8 relaxed with PBEsol (SCAN).

Lattice parameters (Å, degrees): 5.2344 5.2344 6.8917 67.68 67.68 60.00
Atoms (fractional coordinates):
P  0.4052  0.4052  0.7844
O  0.7561  0.2718  0.7002
O  0.7282  0.2439  0.2998
O  0.2718  0.7561  0.7002
P  0.5948  0.5948  0.2156
O  0.6772  0.6772  0.9683
O  0.3228  0.3228  0.0317
Ca  0.0000  0.0000  0.0000
O  0.2439  0.7282  0.2998
O  0.2718  0.2718  0.7002
Ca  0.2030  0.2030  0.3910
Ca  0.7970  0.7970  0.6090
O  0.7282  0.7282  0.2998

Results
Fermi-level density of states ... 0.00 states/eV per atom
Energy relative to the lowest polymorph listed for this composition ... 0 meV per atom
VASP energy ... -141.0 eV for the cell shown



(6)
Entry from Alexandria via LeMat-Bulk: a crystal of FeIN2O relaxed with PBEsol (SCAN).

Lattice parameters (Å, degrees): 3.9179 4.0131 4.0131 90.00 90.00 90.00
Atoms (fractional coordinates):
O  0.5000  0.0000  0.0000
Fe  0.5000  0.5000  0.5000
N  0.0000  0.0000  0.5000
I  0.0000  0.0000  0.0000
N  0.0000  0.5000  0.0000

Results
Fermi-level density of states ... 0.15 states/eV per atom
VASP energy ... -72.0 eV for the cell shown



(7)
Entry from Alexandria via LeMat-Bulk: a crystal of AsRh2Cl relaxed with PBEsol (SCAN).

Lattice parameters (Å, degrees): 3.0944 3.0944 7.5292 78.14 78.14 60.00
Atoms (fractional coordinates):
As  0.5000  0.5000  0.5000
Rh  0.7576  0.7576  0.7272
Cl  0.0000  0.0000  0.0000
Rh  0.2424  0.2424  0.2728

Results
Fermi-level density of states ... 0.46 states/eV per atom
VASP energy ... -96.6 eV for the cell shown



(8)
Entry from Alexandria via LeMat-Bulk: a crystal of MgCoSe2 relaxed with PBEsol (SCAN).

Lattice parameters (Å, degrees): 3.5174 3.5174 7.8770 77.10 77.10 60.00
Atoms (fractional coordinates):
Se  0.8855  0.8855  0.3435
Mg  0.0000  0.0000  0.0000
Se  0.1145  0.1145  0.6565
Co  0.5000  0.5000  0.5000

Results
Fermi-level density of states ... 0.46 states/eV per atom
Energy relative to the lowest polymorph listed for this composition ... 315 meV per atom
VASP energy ... -63.8 eV for the cell shown



Q: Look up the Fermi-level density of states of the first one.
A: 1.48 states/eV per atom



Q: What is the VASP energy in the seventh record?
A: -96.6 eV for the cell shown



Q: Number 1 is which compound?
A: Ba2SrMn